! SiIr3Pb (PBEsol, relaxed); values from VASP
! - raw formation energy (eV/atom) = 2.559
! - polymorph energy (0 for the lowest one) (eV per atom) = 1.895
! - space group = Pm-3m
! - N(E_F) (states/eV per atom) = 1.755
&SYSTEM
  ibrav = 0, nat = 5, ntyp = 3
/
ATOMIC_SPECIES
Ir 192.22 Ir.upf
Pb 207.20 Pb.upf
Si 28.09 Si.upf
ATOMIC_POSITIONS angstrom
Ir 2.4525 0.0000 0.0000
Ir 0.0000 2.4525 0.0000
Ir 0.0000 0.0000 2.4525
Pb 0.0000 0.0000 0.0000
Si 2.4525 2.4525 2.4525
CELL_PARAMETERS angstrom
4.9050 0.0000 0.0000
0.0000 4.9050 0.0000
0.0000 0.0000 4.9050


! NaIn2Ge2 (PBEsol, relaxed); values from VASP
! - formation enthalpy at 0 K (meV per atom) = -13.3
! - space group = I4/mmm
! - N(E_F) (states/eV per atom) = 0.344
&SYSTEM
  ibrav = 0, nat = 5, ntyp = 3
/
ATOMIC_SPECIES
Na 22.99 Na.upf
Ge 72.64 Ge.upf
In 114.82 In.upf
ATOMIC_POSITIONS angstrom
Na 0.0000 0.0000 0.0000
Ge 2.4385 2.4385 1.2372
Ge 0.0000 0.0000 3.9826
In 2.4385 0.0000 2.6099
In 0.0000 2.4385 2.6099
CELL_PARAMETERS angstrom
4.8769 0.0000 0.0000
0.0000 4.8769 0.0000
-2.4385 -2.4385 5.2198


The records above yield total energy values of -26.4 -17.3 eV/cell, respectively.